RbScSe2O8 (PBE-GGA, relaxed); size of the total moment = 0.00 μB per formula unit; energy relative to the elements, uncorrected = -1.508 eV per atom; electronic total energy = -72.027 eV for the cell shown; crystal system = trigonal
1.0
-4.3818 1.7681 -2.4100
3.1082 -3.5520 -2.4201
-4.5806 -6.4557 3.5921
O Se Rb Sc
8 2 1 1
Direct
0.6555 0.7223 0.6465
0.6667 0.3333 0.0996
0.9332 0.6555 0.3535
0.2777 0.9332 0.6465
0.7223 0.0668 0.3535
0.0668 0.3445 0.6465
0.3445 0.2777 0.3535
0.3333 0.6667 0.9004
0.3333 0.6667 0.7113
0.6667 0.3333 0.2887
0.0000 0.0000 0.0000
0.0000 0.0000 0.5000